Entry 1:
This record from Alexandria describes crystalline Th4SnBi4 at its relaxed geometry. The functional is PBE.

Values from the calculation:
M_tot in μB per formula unit: 0.00
E_form in meV/atom: -70
Total energy in eV per atom: -5.537

```
9
Lattice="-4.197 4.197 4.478 4.197 -4.197 4.478 4.197 4.197 -4.478" Properties=species:S:1:pos:R:3 pbc="T T T"
Th 2.200 2.200 -1.649
Th 1.997 -1.997 6.127
Th 1.997 1.997 2.828
Th -1.997 1.997 6.127
Sn 0.000 0.000 4.478
Bi 4.197 0.000 0.000
Bi 0.000 0.000 1.459
Bi 0.000 4.197 0.000
Bi 0.000 0.000 7.497
```

=====

Entry 2:
This record from Alexandria describes crystalline Th4SnBi2 at its relaxed geometry. The functional is PBE.

Values from the calculation:
M_tot in μB per formula unit: 0.00
E_form in meV/atom: -350
Total energy in eV per atom: -6.271

```
14
Lattice="2.315 -5.664 0.000 2.315 5.664 0.000 0.000 0.000 17.497" Properties=species:S:1:pos:R:3 pbc="T T T"
Th 0.000 0.000 0.000
Th 0.000 0.000 8.748
Th 2.315 1.785 13.122
Th 2.315 1.636 2.291
Th 2.315 1.636 6.457
Th 2.315 -1.636 11.040
Th 2.315 -1.636 15.205
Th 2.315 -1.785 4.374
Sn 2.315 5.118 13.122
Sn 2.315 -5.118 4.374
Bi 2.315 1.899 9.933
Bi 2.315 1.899 16.312
Bi 2.315 -1.899 1.185
Bi 2.315 -1.899 7.563
```

=====

Entry 3:
This record from Alexandria describes crystalline Ti10Sn3Bi3 at its relaxed geometry. The functional is PBE.

Values from the calculation:
M_tot in μB per formula unit: 0.08
E_form in meV/atom: -222
Total energy in eV per atom: -6.635

```
16
Lattice="8.186 0.000 0.000 -4.093 7.089 0.000 0.000 0.000 5.479" Properties=species:S:1:pos:R:3 pbc="T T T"
Ti -1.062 1.839 0.000
Ti -3.251 5.631 2.740
Ti 0.842 1.458 2.740
Ti 2.123 0.000 0.000
Ti 0.000 4.726 1.312
Ti 0.000 4.726 4.168
Ti 4.093 2.363 1.312
Ti 4.093 2.363 4.168
Ti 3.031 5.250 0.000
Ti 6.502 0.000 2.740
Sn -2.546 4.410 0.000
Sn 1.547 2.679 0.000
Sn 5.092 0.000 0.000
Bi -1.648 2.855 2.740
Bi 3.297 0.000 2.740
Bi 2.444 4.234 2.740
```